A relaxed structure of LiLa2CoO, computed with PBE with a Hubbard U.

The space group is P4/mmm (No. 123) and the conventional cell measures 5.0898, 5.0898 and 3.9009 Å, with angles of 90.00, 90.00 and 90.00 degrees. The inequivalent atoms are Li at (0.0000, 0.0000, 0.0000), La at (0.0000, 0.5000, 0.5000), Co at (0.5000, 0.5000, 0.0000) and O at (0.0000, 0.0000, 0.5000).

The calculation puts the final energy at -5.348 eV per atom.